# Cs2KTlBr6 | the Alexandria database | PBE | optimized geometry
data_Cs2KTlBr6
_chemical_formula_sum 'Cs8 K4 Tl4 Br24'
_cell_length_a 11.871
_cell_length_b 11.871
_cell_length_c 11.871
_cell_angle_alpha 90.00
_cell_angle_beta 90.00
_cell_angle_gamma 90.00
_space_group_name_H-M_alt 'F m -3 m'
_space_group_IT_number 225
_space_group_name_Hall '-F 4 2 3'
loop_
_atom_site_label
_atom_site_fract_x
_atom_site_fract_y
_atom_site_fract_z
Cs1 0.250 0.250 0.250
K1 0.000 0.000 0.000
Tl1 0.000 0.000 0.500
Br1 0.000 0.000 0.266
# total moment: 0.0 μB per formula unit
# formation energy from raw total energies: -1.2693 eV/atom
# calculated total energy: -2.790 eV/atom

---

# CsKTm2Br8 | the Alexandria database | PBE | optimized geometry
data_CsKTm2Br8
_chemical_formula_sum 'Cs3 K3 Tm6 Br24'
_cell_length_a 7.7060
_cell_length_b 7.7060
_cell_length_c 30.7602
_cell_angle_alpha 90.00
_cell_angle_beta 90.00
_cell_angle_gamma 120.00
_space_group_name_H-M_alt 'R -3'
_space_group_IT_number 148
_space_group_name_Hall '-R 3'
loop_
_atom_site_label
_atom_site_fract_x
_atom_site_fract_y
_atom_site_fract_z
Cs1 0.0000 0.0000 0.0000
K1 0.0000 0.0000 0.5000
Tm1 0.0000 0.0000 0.2520
Br1 0.0000 0.0000 0.3366
Br2 0.0127 0.3739 0.5614
# total moment: 0.0 μB per formula unit
# formation energy from raw total energies: -1.7628 eV/atom
# calculated total energy: -3.786 eV/atom

---

# CsK2TmBr6 | the Alexandria database | PBE | optimized geometry
data_CsK2TmBr6
_chemical_formula_sum 'Cs3 K6 Tm3 Br18'
_cell_length_a 8.2342
_cell_length_b 8.2342
_cell_length_c 21.7454
_cell_angle_alpha 90.00
_cell_angle_beta 90.00
_cell_angle_gamma 120.00
_space_group_name_H-M_alt 'R 3'
_space_group_IT_number 146
_space_group_name_Hall 'R 3'
loop_
_atom_site_label
_atom_site_fract_x
_atom_site_fract_y
_atom_site_fract_z
Cs1 0.0000 0.0000 0.0000
K1 0.0000 0.0000 0.2833
K2 0.0000 0.0000 0.7989
Tm1 0.0000 0.0000 0.4846
Br1 0.0167 0.7430 0.4047
Br2 0.0194 0.2939 0.5540
# total moment: 0.0 μB per formula unit
# formation energy from raw total energies: -1.8223 eV/atom
# calculated total energy: -3.578 eV/atom

---

# CsK2VBr6 | the Alexandria database | PBE | optimized geometry
data_CsK2VBr6
_chemical_formula_sum 'Cs3 K6 V3 Br18'
_cell_length_a 8.0819
_cell_length_b 8.0819
_cell_length_c 20.9661
_cell_angle_alpha 90.00
_cell_angle_beta 90.00
_cell_angle_gamma 120.00
_space_group_name_H-M_alt 'R 3'
_space_group_IT_number 146
_space_group_name_Hall 'R 3'
loop_
_atom_site_label
_atom_site_fract_x
_atom_site_fract_y
_atom_site_fract_z
Cs1 0.0000 0.0000 0.0000
K1 0.0000 0.0000 0.2830
K2 0.0000 0.0000 0.7977
V1 0.0000 0.0000 0.4873
Br1 0.0200 0.2742 0.5562
Br2 0.0793 0.6690 0.0802
# total moment: 2.0 μB per formula unit
# formation energy from raw total energies: -1.3687 eV/atom
# calculated total energy: -3.589 eV/atom

---

# Cs3KV2Br9 | the Alexandria database | PBE | optimized geometry
data_Cs3KV2Br9
_chemical_formula_sum 'Cs3 K1 V2 Br9'
_cell_length_a 7.8162
_cell_length_b 7.8162
_cell_length_c 9.9818
_cell_angle_alpha 90.00
_cell_angle_beta 90.00
_cell_angle_gamma 120.00
_space_group_name_H-M_alt 'P -3 m 1'
_space_group_IT_number 164
_space_group_name_Hall '-P 3 2"'
loop_
_atom_site_label
_atom_site_fract_x
_atom_site_fract_y
_atom_site_fract_z
Cs1 0.0000 0.0000 0.0000
Cs2 0.3333 0.6667 0.6784
K1 0.0000 0.0000 0.5000
V1 0.3333 0.6667 0.1537
Br1 0.0000 0.5000 0.0000
Br2 0.1795 0.3590 0.2993
# total moment: 5.0 μB per formula unit
# formation energy from raw total energies: -1.3321 eV/atom
# calculated total energy: -3.796 eV/atom

---

# CsK2VBr8 | the Alexandria database | PBE | optimized geometry
data_CsK2VBr8
_chemical_formula_sum 'Cs1 K2 V1 Br8'
_cell_length_a 6.053
_cell_length_b 7.246
_cell_length_c 9.840
_cell_angle_alpha 89.97
_cell_angle_beta 72.92
_cell_angle_gamma 89.59
_space_group_name_H-M_alt 'P -1'
_space_group_IT_number 2
loop_
_space_group_symop_operation_xyz
'x,y,z'
'-x,-y,-z'
loop_
_atom_site_label
_atom_site_fract_x
_atom_site_fract_y
_atom_site_fract_z
Cs1 0.000 0.000 0.000
K1 0.334 0.497 0.313
V1 0.000 0.000 0.500
Br1 0.176 0.242 0.615
Br2 0.179 0.756 0.614
Br3 0.249 0.500 0.997
Br4 0.343 0.000 0.282
# total moment: 1.0 μB per formula unit
# formation energy from raw total energies: -1.1898 eV/atom
# calculated total energy: -3.319 eV/atom

---

# CsK2WBr8 | the Alexandria database | PBE | optimized geometry
data_CsK2WBr8
_chemical_formula_sum 'Cs1 K2 W1 Br8'
_cell_length_a 6.395
_cell_length_b 7.807
_cell_length_c 10.352
_cell_angle_alpha 89.98
_cell_angle_beta 90.00
_cell_angle_gamma 68.25
_space_group_name_H-M_alt 'P -1'
_space_group_IT_number 2
loop_
_space_group_symop_operation_xyz
'x,y,z'
'-x,-y,-z'
loop_
_atom_site_label
_atom_site_fract_x
_atom_site_fract_y
_atom_site_fract_z
Cs1 0.000 0.000 0.000
K1 0.499 0.500 0.231
W1 0.000 0.000 0.500
Br1 0.070 0.201 0.328
Br2 0.070 0.201 0.672
Br3 0.390 0.280 0.000
Br4 0.411 0.798 0.500
# total moment: 1.0 μB per formula unit
# formation energy from raw total energies: -1.0478 eV/atom
# calculated total energy: -3.497 eV/atom

---

# Cs2KWBr6 | the Alexandria database | PBE | optimized geometry
data_Cs2KWBr6
_chemical_formula_sum 'Cs8 K4 W4 Br24'
_cell_length_a 11.544
_cell_length_b 11.544
_cell_length_c 11.544
_cell_angle_alpha 90.00
_cell_angle_beta 90.00
_cell_angle_gamma 90.00
_space_group_name_H-M_alt 'F m -3 m'
_space_group_IT_number 225
_space_group_name_Hall '-F 4 2 3'
loop_
_atom_site_label
_atom_site_fract_x
_atom_site_fract_y
_atom_site_fract_z
Cs1 0.250 0.250 0.250
K1 0.000 0.000 0.000
W1 0.000 0.000 0.500
Br1 0.000 0.000 0.274
# total moment: 3.0 μB per formula unit
# formation energy from raw total energies: -1.1843 eV/atom
# calculated total energy: -3.764 eV/atom

---

# CsK2YBr6 | the Alexandria database | PBE | optimized geometry
data_CsK2YBr6
_chemical_formula_sum 'Cs3 K6 Y3 Br18'
_cell_length_a 8.2614
_cell_length_b 8.2614
_cell_length_c 21.8457
_cell_angle_alpha 90.00
_cell_angle_beta 90.00
_cell_angle_gamma 120.00
_space_group_name_H-M_alt 'R 3'
_space_group_IT_number 146
_space_group_name_Hall 'R 3'
loop_
_atom_site_label
_atom_site_fract_x
_atom_site_fract_y
_atom_site_fract_z
Cs1 0.0000 0.0000 0.0000
K1 0.0000 0.0000 0.2827
K2 0.0000 0.0000 0.7986
Y1 0.0000 0.0000 0.4838
Br1 0.0198 0.2982 0.5534
Br2 0.0208 0.7437 0.4024
# total moment: 0.0 μB per formula unit
# formation energy from raw total energies: -1.8296 eV/atom
# calculated total energy: -3.785 eV/atom

---

# Cs3KZn2Br8 | the Alexandria database | PBE | optimized geometry
data_Cs3KZn2Br8
_chemical_formula_sum 'Cs3 K1 Zn2 Br8'
_cell_length_a 8.1165
_cell_length_b 8.1165
_cell_length_c 10.2740
_cell_angle_alpha 90.00
_cell_angle_beta 90.00
_cell_angle_gamma 120.00
_space_group_name_H-M_alt 'P -3 m 1'
_space_group_IT_number 164
_space_group_name_Hall '-P 3 2"'
loop_
_atom_site_label
_atom_site_fract_x
_atom_site_fract_y
_atom_site_fract_z
Cs1 0.0000 0.0000 0.0000
Cs2 0.3333 0.6667 0.6326
K1 0.0000 0.0000 0.5000
Zn1 0.3333 0.6667 0.2064
Br1 0.1734 0.3468 0.3022
Br2 0.3333 0.6667 0.9758
# total moment: 0.0 μB per formula unit
# formation energy from raw total energies: -1.4233 eV/atom
# calculated total energy: -2.823 eV/atom

---

# Cs3K3ZnBr8 | the Alexandria database | PBE | optimized geometry
data_Cs3K3ZnBr8
_chemical_formula_sum 'Cs9 K9 Zn3 Br24'
_cell_length_a 9.5428
_cell_length_b 9.5428
_cell_length_c 24.7481
_cell_angle_alpha 90.00
_cell_angle_beta 90.00
_cell_angle_gamma 120.00
_space_group_name_H-M_alt 'R -3 m'
_space_group_IT_number 166
_space_group_name_Hall '-R 3 2"'
loop_
_atom_site_label
_atom_site_fract_x
_atom_site_fract_y
_atom_site_fract_z
Cs1 0.0000 0.5000 0.0000
K1 0.0000 0.5000 0.5000
Zn1 0.0000 0.0000 0.5000
Br1 0.0000 0.0000 0.2408
Br2 0.0597 0.5299 0.2284
# total moment: 0.0 μB per formula unit
# formation energy from raw total energies: -1.5461 eV/atom
# calculated total energy: -2.913 eV/atom

---

# CsKZnBr2 | the Alexandria database | PBE | optimized geometry
data_CsKZnBr2
_chemical_formula_sum 'Cs1 K1 Zn1 Br2'
_cell_length_a 6.516
_cell_length_b 6.516
_cell_length_c 5.621
_cell_angle_alpha 90.00
_cell_angle_beta 90.00
_cell_angle_gamma 90.00
_space_group_name_H-M_alt 'P 4/m m m'
_space_group_IT_number 123
_space_group_name_Hall '-P 4 2'
loop_
_atom_site_label
_atom_site_fract_x
_atom_site_fract_y
_atom_site_fract_z
Cs1 0.000 0.000 0.000
K1 0.500 0.500 0.000
Zn1 0.500 0.500 0.500
Br1 0.000 0.500 0.500
# total moment: 0.0 μB per formula unit
# formation energy from raw total energies: -0.7831 eV/atom
# calculated total energy: -2.097 eV/atom